Entry from the Alexandria database: a geometry-optimized ReHgF4 structure (PBE-GGA).

a = 5.744 Å, b = 5.696 Å, c = 16.990 Å
α = 90.00°, β = 92.33°, γ = 90.00°
Space group C2/c (No. 15)
One atom of each set of equivalent atoms:
Re1 0.000 0.029 0.250
Hg1 0.000 0.500 0.000
F1 0.013 0.028 0.363
F2 0.250 0.221 0.750

The total DFT energy (no corrections) is -4.853 eV/atom.